(1)
Sc3As2Se | PBE | relaxed

Cell lengths 3.879, 5.488, 6.713 Å; angles 114.13, 106.79, 90.00 degrees
Element x y z (fractional)
As 0.835 0.835 0.170
As 0.165 0.165 0.830
Sc 0.173 0.673 0.846
Sc 0.500 0.000 0.500
Sc 0.827 0.327 0.154
Se 0.500 0.500 0.500

Computed properties:
space-group type	No. 71
formation energy from raw total energies	-1.50	eV/atom

***

(2)
ScAsSe | PBE | relaxed

Cell lengths 4.615, 4.615, 4.615 Å; angles 60.00, 60.00, 60.00 degrees
Element x y z (fractional)
As 0.500 0.500 0.500
Se 0.000 0.000 0.000
Sc 0.250 0.250 0.250

Computed properties:
space-group type	No. 216
formation energy from raw total energies	-0.68	eV/atom

***

(3)
Sc2As2Se | PBE | relaxed

Cell lengths 7.268, 7.268, 3.864 Å; angles 90.00, 90.00, 90.00 degrees
Element x y z (fractional)
Sc 0.674 0.174 0.000
Sc 0.174 0.326 0.000
Sc 0.326 0.826 0.000
Sc 0.826 0.674 0.000
As 0.378 0.122 0.500
As 0.622 0.878 0.500
As 0.122 0.622 0.500
As 0.878 0.378 0.500
Se 0.000 0.000 0.000
Se 0.500 0.500 0.000

Computed properties:
energy relative to the lowest polymorph listed for this composition	0.0000	eV per atom
space-group type	No. 127
formation energy from raw total energies	-1.04	eV/atom

***

(4)
Sc6As5Se | PBE | relaxed

Cell lengths 6.718, 6.718, 6.712 Å; angles 59.97, 80.40, 70.52 degrees
Element x y z (fractional)
Sc 0.747 0.745 0.000
Sc 0.253 0.915 0.661
Sc 0.747 0.423 0.661
Sc 0.747 0.085 0.339
Sc 0.253 0.255 0.000
Sc 0.253 0.577 0.339
As 0.500 0.165 0.670
As 0.000 0.667 0.666
As 0.500 0.500 0.000
As 0.500 0.835 0.330
As 0.000 0.333 0.334
Se 0.000 0.000 0.000

Computed properties:
space-group type	No. 12
formation energy from raw total energies	-1.45	eV/atom

***

(5)
ScAsSe | PBE | relaxed

Cell lengths 4.520, 4.520, 3.603 Å; angles 90.00, 90.00, 120.00 degrees
Element x y z (fractional)
Sc 0.333 0.667 0.500
As 0.000 0.000 0.000
Se 0.667 0.333 0.500

Computed properties:
space-group type	No. 187
formation energy from raw total energies	-0.61	eV/atom

***

(6)
Sc3AsSe2 | PBE | relaxed

Cell lengths 3.869, 5.466, 6.741 Å; angles 113.92, 106.68, 90.00 degrees
Element x y z (fractional)
Sc 0.500 0.000 0.500
Sc 0.158 0.658 0.815
Sc 0.842 0.342 0.185
As 0.500 0.500 0.500
Se 0.831 0.831 0.162
Se 0.169 0.169 0.838

Computed properties:
space-group type	No. 71
formation energy from raw total energies	-1.57	eV/atom

***

The records above yield E_tot values of -6.800 -5.497 -6.126 -6.848 -5.429 -6.673 eV/atom, respectively.